{
  "formula": "CaMnTlI5",
  "functional": "PBE",
  "state": "optimized geometry",
  "lattice_angstrom": [[-6.1005, -4.4056, 3.9232], [6.8028, -0.6481, 5.0317], [-3.2201, 10.7588, 1.0142]],
  "species": ["I", "Tl", "I", "Ca", "I", "I", "I", "I", "Ca", "Tl", "I", "I", "Mn", "Mn", "I", "I"],
  "fractional_positions": [[0.6638, 0.0811, 0.3729], [0.3488, 0.6512, 0.2500], [0.0902, 0.9098, 0.2500], [0.0000, 0.0000, 0.0000], [0.9189, 0.3362, 0.1271], [0.2585, 0.3842, 0.5600], [0.3362, 0.9189, 0.6271], [0.6158, 0.7415, 0.9400], [0.0000, 0.0000, 0.5000], [0.6512, 0.3488, 0.7500], [0.3842, 0.2585, 0.0600], [0.7415, 0.6158, 0.4400], [0.6823, 0.3177, 0.2500], [0.3177, 0.6823, 0.7500], [0.9098, 0.0902, 0.7500], [0.0811, 0.6638, 0.8729]],
  "formation_energy_uncorrected_ev_per_atom": -0.911,
  "dos_at_fermi_per_ev_atom": 0.0000,
  "m_tot_mub_per_fu": 5.00,
  "spacegroup": "C2/c"
}